1.
Crystalline Cd3AgGe at its relaxed geometry, computed with GGA-PBE.

Summary:
Energy relative to the elements (eV/atom): 0.4541
Space group: No. 221
Relative energy among the computed polymorphs (meV per atom): 0.0
Size of the total moment (μB per formula unit): 0.00

Lattice parameters (Å, degrees): 5.227 5.227 5.227 90.00 90.00 90.00
Atoms (fractional coordinates):
Cd 0.500 0.000 0.000
Ag 0.500 0.500 0.500
Cd 0.000 0.500 0.000
Ge 0.000 0.000 0.000
Cd 0.000 0.000 0.500

***

2.
Crystalline VCuGe2 at its relaxed geometry, computed with GGA-PBE.

Summary:
Energy relative to the elements (eV/atom): 0.0898
Space group: No. 166
Size of the total moment (μB per formula unit): 0.00

Lattice parameters (Å, degrees): 2.875 2.875 8.982 80.79 80.79 60.00
Atoms (fractional coordinates):
Ge 0.089 0.089 0.732
Ge 0.911 0.911 0.268
Cu 0.000 0.000 0.000
V 0.500 0.500 0.500

***

Computed total energy (eV/f.u.) in order:
-7.943; -22.090